# PaAlSi

A geometry-optimized PaAlSi structure (PBE, the Alexandria database).

Properties
Calculated density in Mg/m³: 8.0
Uncorrected formation energy in eV/atom: -0.38
Magnetization in μB/f.u.: 0.0

The structure in extended XYZ format:
```
3
Lattice="3.9042 0.0000 0.0000 0.0000 4.1975 0.0000 0.0000 -2.0988 3.6352" Properties=species:S:1:pos:R:3 pbc="T T T"
Al 0.6512 0.0000 2.4234
Si 0.6500 0.0000 0.0000
Pa 2.6030 2.0988 1.2117
```


# Tb2ScAl

A geometry-optimized Tb2ScAl structure (PBE, the Alexandria database).

Properties
Calculated formation energy in meV per atom: -160
Energy above the lowest structure with this stoichiometry in eV per atom: 0.050
Calculated density in Mg/m³: 6.1
Magnetization in μB/f.u.: 0.0

The structure in extended XYZ format:
```
4
Lattice="-1.6420 -1.6580 -2.5832 2.2670 -2.6301 0.2471 -5.1648 -3.9077 5.7911" Properties=species:S:1:pos:R:3 pbc="T T T"
Tb -4.0023 -3.0281 4.4875
Al 0.3125 -2.1440 -1.1680
Tb -1.1626 -0.8796 1.3035
Sc -2.2699 -4.0979 1.7275
```


# TmPa2O7

A geometry-optimized TmPa2O7 structure (PBE, the Alexandria database).

Properties
Calculated density in Mg/m³: 9.2
Uncorrected formation energy in eV/atom: -3.37
Magnetization in μB/f.u.: 1.1

The structure in extended XYZ format:
```
10
Lattice="-1.0150 0.9591 3.6066 0.4036 -2.5624 2.8686 9.3976 2.9620 3.9308" Properties=species:S:1:pos:R:3 pbc="T T T"
Tm 4.3931 0.6793 5.2031
Pa 7.3891 2.2306 3.5601
O 1.3049 0.0150 2.4369
O 2.2527 -0.1001 4.8079
Pa 1.3971 -0.8719 6.8461
O 3.4318 -0.1310 7.2217
O 6.5335 1.4588 5.5982
O 7.4813 1.3437 7.9692
O 0.0000 0.0000 0.0000
O 5.3544 1.4896 3.1845
```


# Ce2Ta3Se2O8

A geometry-optimized Ce2Ta3Se2O8 structure (PBE, the Alexandria database).

Properties
Calculated density in Mg/m³: 8.0
Uncorrected formation energy in eV/atom: -2.69
Magnetization in μB/f.u.: 2.0

The structure in extended XYZ format:
```
60
Lattice="-5.2820 -1.1640 5.4408 7.1734 -2.8885 6.3460 1.2992 11.3174 3.6826" Properties=species:S:1:pos:R:3 pbc="T T T"
Se 1.6651 5.5470 8.2121
O 4.1438 1.9895 9.8573
O 2.1453 5.8357 11.4691
Ta 0.4086 5.9228 4.3707
Ta 1.7866 7.6617 11.4893
O 3.2503 8.2967 10.3393
Ta -1.2393 -0.9794 6.7030
Ta -4.1522 -0.9151 4.2771
O 1.7844 5.7913 2.9713
O 2.0558 -0.0335 10.0772
O 4.5390 -2.3174 6.4680
Se -2.2939 0.9243 3.3797
O 3.5671 3.2193 12.3061
O -1.3484 9.5823 9.0015
O 1.7957 3.0620 10.3644
O 5.7888 8.8928 7.5224
Ta 1.4040 -0.3968 3.9802
Ta 5.4206 1.9236 8.3808
O 4.6727 0.5432 7.3816
Ce 3.1621 8.7199 4.9354
Se 1.5255 1.7178 7.2573
O 1.3950 4.2028 5.1050
Ce 6.3764 5.1142 7.2844
Ta -2.2300 5.3413 7.0887
O 0.4033 8.0064 10.1766
Se 5.4845 6.3406 12.0898
O 1.7543 -2.9311 9.3365
Se 4.2222 2.5740 4.6497
O -3.0577 3.4547 5.9251
Ce 5.3105 -0.2910 5.0932
Ce -0.6730 2.6984 5.3328
O 2.7873 -0.7415 5.2929
O 1.4363 10.1960 6.1330
Ce 2.7789 -1.0030 7.8921
O 4.2929 3.6124 7.7921
Se 4.2504 5.8549 5.3790
O 1.0454 1.4291 4.0004
O -1.6197 0.8418 6.7456
O -0.0597 -1.0319 5.1301
Se 0.3565 1.7992 0.7310
Ta -1.1298 -0.2490 1.1637
O 2.6838 -0.4639 2.5062
O 3.0041 8.5796 7.4976
O -1.4820 6.7216 8.0879
O 1.1349 7.2983 5.3923
Ce 3.8636 4.5664 10.1367
Ta 2.7820 1.3421 11.0988
Ce 2.0963 3.3147 2.7443
Ta 4.4299 8.2442 8.7665
O -0.3765 4.0456 3.1633
Ta 2.7251 3.8814 6.5710
O 6.6882 2.6376 7.0573
Ta 0.4655 3.3835 8.8985
Ce 0.4117 8.2678 7.5774
O 0.1865 -1.3147 7.9719
O -1.1023 3.6525 7.6774
Se 8.1161 6.6297 9.2976
O 6.2483 3.8101 9.5443
O -0.9531 5.2754 5.6122
O 4.8104 6.4230 8.7239
```


# AsC2

A geometry-optimized AsC2 structure (PBE, the Alexandria database).

Properties
Calculated formation energy in meV per atom: 369
Energy above the lowest structure with this stoichiometry in eV per atom: 0.017
Calculated density in Mg/m³: 3.3
Magnetization in μB/f.u.: 0.0

The structure in extended XYZ format:
```
3
Lattice="-5.4521 3.8410 -6.1140 -7.1855 3.4318 -4.2956 -5.7593 5.5394 -4.2433" Properties=species:S:1:pos:R:3 pbc="T T T"
C -15.3340 10.6789 -12.2133
As -18.3883 12.8061 -14.6460
C -9.2016 6.4082 -7.3289
```


# LiCd4Ag

A geometry-optimized LiCd4Ag structure (PBE, the Alexandria database).

Properties
Calculated formation energy in meV per atom: 5
Energy above the lowest structure with this stoichiometry in eV per atom: 0.121
Calculated density in Mg/m³: 7.2
Magnetization in μB/f.u.: 0.0

The structure in extended XYZ format:
```
6
Lattice="4.0057 2.8552 2.8791 -1.4774 3.3812 4.3441 1.2841 -1.5032 5.3459" Properties=species:S:1:pos:R:3 pbc="T T T"
Cd 0.6904 3.4661 6.8858
Cd 2.0718 1.0227 7.3869
Cd 3.4333 3.2030 6.1529
Ag 0.0000 0.0000 0.0000
Cd 1.4294 1.7746 4.7126
Li 2.8593 3.5499 9.4268
```


# InSbSe3

A geometry-optimized InSbSe3 structure (PBE, the Alexandria database).

Properties
Calculated density in Mg/m³: 5.1
Uncorrected formation energy in eV/atom: 0.14
Magnetization in μB/f.u.: 0.0

The structure in extended XYZ format:
```
5
Lattice="5.3640 0.0000 0.0000 0.0000 5.3640 0.0000 0.0000 0.0000 5.3640" Properties=species:S:1:pos:R:3 pbc="T T T"
Se 0.0000 2.6820 0.0000
In 2.6820 2.6820 2.6820
Se 0.0000 0.0000 2.6820
Se 2.6820 0.0000 0.0000
Sb 0.0000 0.0000 0.0000
```


# CsPr9NbBr15N6

A geometry-optimized CsPr9NbBr15N6 structure (PBE, the Alexandria database).

Properties
Calculated density in Mg/m³: 4.9
Uncorrected formation energy in eV/atom: -1.76
Magnetization in μB/f.u.: 0.0

The structure in extended XYZ format:
```
64
Lattice="12.4863 0.0000 0.0000 -6.2431 10.8135 0.0000 0.0000 0.0000 13.8606" Properties=species:S:1:pos:R:3 pbc="T T T"
Pr 9.5505 4.5340 3.4651
Br 4.5757 8.1527 1.3346
Br -3.1051 10.6998 1.3346
Br 1.5630 5.6759 1.2763
Pr 3.7845 6.0040 3.4651
Pr -0.5704 4.9921 7.8259
N -1.5638 6.7760 11.8029
Br 1.6674 2.6608 8.2649
Pr 7.8778 2.0021 6.0347
Br 5.6970 1.4843 8.2066
N 0.4070 8.7798 8.9880
Br -2.1092 6.6219 1.2763
Pr 2.4586 4.8095 10.3954
N 5.0863 4.7423 4.8726
Br -1.3377 3.5456 10.3954
Pr 4.0381 2.9900 0.8956
Br 1.6674 2.6608 12.5260
Pr 2.2051 7.8235 12.9650
Pr -0.5704 4.9921 12.9650
N 5.8362 2.0337 4.8726
Nb 6.2432 3.6045 3.4651
Br 0.5461 9.3291 5.6540
N 1.1569 6.0711 11.8029
N 5.8362 2.0337 2.0577
Br 4.6801 5.1375 8.2066
Pr -1.6347 8.8114 7.8259
Pr 5.3944 0.2755 3.4651
Br 3.8414 7.8822 10.3954
Br 9.3483 0.1136 8.2649
Br 5.6970 1.4843 12.5842
N -1.5638 6.7760 8.9880
Pr -3.3073 6.2795 10.3954
Pr -1.6347 8.8114 12.9650
Br 4.5757 8.1527 5.5957
Br 1.5630 5.6759 5.6540
Br 8.3523 4.1916 8.2066
Cs 0.0000 0.0000 10.3954
Br 2.4017 2.9312 3.4651
Br -3.1051 10.6998 5.5957
Br 8.7469 0.6143 3.4651
N 0.4070 8.7798 11.8029
Pr 4.0381 2.9900 6.0347
N 7.8070 4.0375 4.8726
Br 0.5461 9.3291 1.2763
Br -2.5038 10.1991 10.3954
Br 7.7138 8.0390 12.5260
Br 7.5808 7.2679 3.4651
N 7.8070 4.0375 2.0577
Br 4.6801 5.1375 12.5842
Br -1.4706 2.7744 1.3346
Nb 0.0000 7.2090 10.3954
Br -1.4706 2.7744 5.5957
Pr 6.8135 5.8214 6.0347
Br 8.3523 4.1916 12.5842
N 1.1569 6.0711 8.9880
Br 7.7138 8.0390 8.2649
Br -2.1092 6.6219 5.6540
Pr 7.8778 2.0021 0.8956
Cs 0.0000 0.0000 3.4651
N 5.0863 4.7423 2.0577
Pr 2.2051 7.8235 7.8259
Pr 0.8487 10.5379 10.3954
Pr 6.8135 5.8214 0.8956
Br 9.3483 0.1136 12.5260
```


# Er12Sn6Ru

A geometry-optimized Er12Sn6Ru structure (PBE, the Alexandria database).

Properties
Calculated formation energy in meV per atom: -383
Calculated density in Mg/m³: 7.9
Magnetization in μB/f.u.: 0.0

The structure in extended XYZ format:
```
19
Lattice="-1.2106 -7.5116 -3.8689 8.5309 0.1033 0.2680 -1.6489 -2.2701 8.0614" Properties=species:S:1:pos:R:3 pbc="T T T"
Er 5.3723 -4.5578 3.1422
Er 7.1925 -5.1029 -2.2678
Er 0.2990 -5.1206 1.3182
Er 1.3865 -7.4782 -3.2670
Er 2.4625 -2.6908 3.8398
Ru 0.0000 0.0000 0.0000
Er 3.9090 -3.5721 0.0883
Sn -0.3853 -3.7764 3.9877
Sn 0.8741 -8.1171 2.2560
Sn 4.7973 -1.5614 2.2045
Er -2.1300 -8.6486 1.8919
Er 7.8013 -1.0298 2.5686
Sn 3.9947 -4.6257 5.8639
Er 3.2089 -6.9877 0.6207
Er 1.7624 -6.1064 4.3722
Sn 1.6767 -5.0528 -1.4035
Er -1.5212 -4.5756 6.7282
Sn 6.0566 -5.9020 0.4728
Er 4.2848 -2.2003 7.7275
```


# PrAg2TeS4

A geometry-optimized PrAg2TeS4 structure (PBE, the Alexandria database).

Properties
Calculated density in Mg/m³: 5.0
Uncorrected formation energy in eV/atom: -0.57
Magnetization in μB/f.u.: 0.0

The structure in extended XYZ format:
```
16
Lattice="-6.4141 -3.3233 3.6215 5.7096 -0.5890 5.6880 -1.2783 7.9641 -3.0379" Properties=species:S:1:pos:R:3 pbc="T T T"
Te -7.6924 4.6408 0.5836
S 1.9515 6.4108 2.3137
S -3.6130 1.8397 2.6027
Pr -4.1984 0.3642 4.9466
S -1.3063 0.2856 5.1442
Te -0.9914 2.0259 3.1358
Ag -0.6391 3.9821 -1.5189
Ag -3.8462 2.3204 0.2918
S 1.6302 2.2121 3.6689
Ag -3.2070 -1.6616 1.8108
S -3.9344 -2.3590 3.9580
S -1.0657 -2.3244 7.1859
Pr 2.8548 -0.2945 2.8440
Ag -0.3523 -1.9561 4.6548
S -0.6765 3.7663 1.1275
S -0.9171 6.3763 -0.9143
```


# AlInSi

A geometry-optimized AlInSi structure (PBE, the Alexandria database).

Properties
Energy above the lowest structure with this stoichiometry in eV per atom: 0.049
Calculated density in Mg/m³: 4.2
Uncorrected formation energy in eV/atom: 0.31
Magnetization in μB/f.u.: 0.0

The structure in extended XYZ format:
```
3
Lattice="-0.1941 4.5521 0.2864 -3.7132 2.0225 1.7212 0.1961 2.0409 4.0789" Properties=species:S:1:pos:R:3 pbc="T T T"
Al 0.0000 0.0000 0.0000
In -1.8556 4.3077 3.0433
Si -2.7835 6.4616 4.5649
```


# Rb3Tl2Pt4

A geometry-optimized Rb3Tl2Pt4 structure (PBE, the Alexandria database).

Properties
Calculated formation energy in meV per atom: -131
Calculated density in Mg/m³: 8.9
Magnetization in μB/f.u.: 0.0

The structure in extended XYZ format:
```
9
Lattice="4.6972 0.0000 0.0000 -2.3486 6.1614 -1.7518 0.0000 -0.2149 9.3771" Properties=species:S:1:pos:R:3 pbc="T T T"
Rb 0.0000 0.0000 0.0000
Pt 2.3486 3.2807 -0.1929
Pt 0.0000 2.6658 7.8182
Tl 0.0000 4.1526 0.9819
Tl 2.3486 1.7939 6.6434
Rb 0.0000 4.3488 4.6495
Rb 2.3486 1.5977 2.9758
Pt 0.0000 0.7950 5.6172
Pt 2.3486 5.1516 2.0081
```


- The lowest calculated density belongs to which entry?
  AsC2


- What is the magnetization in the twelfth record?
  0.0 μB/f.u.